Computed, not measured: LaSiBr2 after structural relaxation at the PBE-GGA level of DFT.

Lattice parameters (Å, degrees): 3.6570 3.6570 9.9422 90.00 90.00 119.13
With the nearest neighbours (Å) after each atom.
Atoms (fractional coordinates):
La1 0.0000 0.0000 0.0000  4 Br 3.03
Si1 0.0000 0.0000 0.5000  4 Br 3.17
Br1 0.5000 0.5000 0.2407  2 La 3.03, 2 Si 3.17
Br2 0.5000 0.5000 0.7593  2 La 3.03, 2 Si 3.17

Crystal system ... orthorhombic
DOS(E_F) ... 1.7 states/eV/f.u.
E_tot ... -3.763 eV per atom
M_tot ... 0.00 μB per formula unit
Calculated volume ... 116 Å³ per cell
Excess energy over the best structure of this formula in the dataset ... 0.5709 eV per atom


Computed, not measured: La2SiBr after structural relaxation at the PBE-GGA level of DFT.

Lattice parameters (Å, degrees): 7.8214 7.8214 7.8214 32.51 32.51 32.51
With the nearest neighbours (Å) after each atom.
Atoms (fractional coordinates):
La1 0.2384 0.2384 0.2384  3 Si 2.99, 3 Br 3.29
La2 0.7616 0.7616 0.7616  3 Si 2.99, 3 Br 3.29
Si1 0.5000 0.5000 0.5000  6 La 2.99
Br1 0.0000 0.0000 0.0000  6 La 3.29

Crystal system ... trigonal
DOS(E_F) ... 1.9 states/eV/f.u.
E_tot ... -5.388 eV per atom
M_tot ... 0.00 μB per formula unit
Calculated volume ... 123 Å³ per cell
Excess energy over the best structure of this formula in the dataset ... 0.0000 eV per atom


Q: Number 1 is which compound?
A: LaSiBr2